Here is InPH2O5 after structural relaxation from Alexandria. Energies are from PBE-GGA.

Cell lengths 5.535, 5.565, 6.669 Å; angles 96.98, 94.35, 107.05 degrees
Fractional coordinates of all 18 atoms:
In  0.144  0.232  0.220
In  0.856  0.768  0.780
P  0.233  0.376  0.743
P  0.767  0.624  0.257
H  0.412  0.865  0.784
H  0.413  0.853  0.248
H  0.587  0.147  0.752
H  0.588  0.135  0.216
O  0.093  0.271  0.530
O  0.133  0.162  0.881
O  0.172  0.621  0.834
O  0.426  0.037  0.262
O  0.474  0.568  0.245
O  0.526  0.432  0.755
O  0.574  0.963  0.738
O  0.828  0.379  0.166
O  0.867  0.838  0.119
O  0.907  0.729  0.470

Output
Space group: No. 2
M_tot: 0.00 μB per formula unit
Total DFT energy (no corrections): -0.224 Ha/atom

***

Here is FeMoCl2 after structural relaxation from Alexandria. Energies are from PBE-GGA.

Cell lengths 3.141, 3.141, 6.132 Å; angles 90.00, 90.00, 90.00 degrees
Fractional coordinates of all 4 atoms:
Fe  0.000  0.000  0.000
Mo  0.000  0.000  0.500
Cl  0.500  0.500  0.247
Cl  0.500  0.500  0.753

Output
Formation energy (no corrections): 0.677 eV per atom
Space group: No. 123
M_tot: 0.87 μB per formula unit

***

Here is Ba2ZrHg after structural relaxation from Alexandria. Energies are from PBE-GGA.

Cell lengths 11.544, 11.544, 11.544 Å; angles 19.20, 19.20, 19.20 degrees
Fractional coordinates of all 4 atoms:
Ba  0.249  0.249  0.249
Ba  0.751  0.751  0.751
Zr  0.000  0.000  0.000
Hg  0.500  0.500  0.500

Output
Space group: No. 166
M_tot: 0.00 μB per formula unit
Formation energy: 0.290 eV/atom

***

Here is MnAlTl after structural relaxation from Alexandria. Energies are from PBE-GGA.

Cell lengths 4.462, 4.462, 4.462 Å; angles 60.00, 60.00, 60.00 degrees
Fractional coordinates of all 3 atoms:
Mn  0.000  0.000  0.000
Al  0.250  0.250  0.250
Tl  0.750  0.750  0.750

Output
Space group: No. 216
M_tot: 3.37 μB per formula unit
Formation energy: 0.380 eV/atom

***

Here is NbGaCoRh after structural relaxation from Alexandria. Energies are from PBE-GGA.

Cell lengths 4.342, 4.342, 4.342 Å; angles 60.00, 60.00, 60.00 degrees
Fractional coordinates of all 4 atoms:
Nb  0.000  0.000  0.000
Ga  0.500  0.500  0.500
Co  0.250  0.250  0.250
Rh  0.750  0.750  0.750

Output
Space group: No. 216
M_tot: 1.94 μB per formula unit
Formation energy: -0.394 eV/atom

***

Here is AgAs6Pd12 after structural relaxation from Alexandria. Energies are from PBE-GGA.

Cell lengths 7.368, 7.368, 7.368 Å; angles 106.96, 106.96, 106.96 degrees
Fractional coordinates of all 19 atoms:
Ag  0.000  0.000  0.000
As  0.261  0.261  0.684
As  0.261  0.684  0.261
As  0.316  0.739  0.739
As  0.684  0.261  0.261
As  0.739  0.316  0.739
As  0.739  0.739  0.316
Pd  0.123  0.500  0.877
Pd  0.123  0.877  0.500
Pd  0.156  0.400  0.400
Pd  0.400  0.156  0.400
Pd  0.400  0.400  0.156
Pd  0.500  0.123  0.877
Pd  0.500  0.877  0.123
Pd  0.600  0.600  0.844
Pd  0.600  0.844  0.600
Pd  0.844  0.600  0.600
Pd  0.877  0.123  0.500
Pd  0.877  0.500  0.123

Output
Space group: No. 166
M_tot: 0.00 μB per formula unit
Formation energy: -0.210 eV/atom

***

What is the M_tot in the third record? 0.00 μB per formula unit

***

Copy entry 2 word for word.
Here is FeMoCl2 after structural relaxation from Alexandria. Energies are from PBE-GGA.

Cell lengths 3.141, 3.141, 6.132 Å; angles 90.00, 90.00, 90.00 degrees
Fractional coordinates of all 4 atoms:
Fe  0.000  0.000  0.000
Mo  0.000  0.000  0.500
Cl  0.500  0.500  0.247
Cl  0.500  0.500  0.753

Output
Formation energy (no corrections): 0.677 eV per atom
Space group: No. 123
M_tot: 0.87 μB per formula unit

***

Which value of M_tot does entry 5 give? 1.94 μB per formula unit